(1)
Compound: SrAgF3
Source: the Alexandria database
Functional: PBE
Structure: optimized geometry

Properties
space-group type: No. 160
energy relative to the elements, uncorrected: -1244 kJ/mol of formula units

CIF file:
```
data_SrAgF3
_chemical_formula_sum 'Sr1 Ag1 F3'
_symmetry_space_group_name_H-M 'P 1'
_symmetry_Int_Tables_number 1
_cell_length_a 4.809
_cell_length_b 4.809
_cell_length_c 4.809
_cell_angle_alpha 87.70
_cell_angle_beta 87.70
_cell_angle_gamma 87.70
loop_
_symmetry_equiv_pos_as_xyz
'x,y,z'
loop_
_atom_site_label
_atom_site_fract_x
_atom_site_fract_y
_atom_site_fract_z
Sr1 0.221 0.221 0.221
F1 0.175 0.717 0.175
F2 0.717 0.175 0.175
F3 0.175 0.175 0.717
Ag1 0.836 0.836 0.836
```



(2)
Compound: Ba2TiCu
Source: the Alexandria database
Functional: PBE
Structure: optimized geometry

Properties
space-group type: No. 122
raw total energy: -25.70 eV for the cell shown

CIF file:
```
data_Ba2TiCu
_chemical_formula_sum 'Ba4 Ti2 Cu2'
_symmetry_space_group_name_H-M 'P 1'
_symmetry_Int_Tables_number 1
_cell_length_a 9.119
_cell_length_b 9.119
_cell_length_c 7.274
_cell_angle_alpha 51.18
_cell_angle_beta 51.18
_cell_angle_gamma 90.00
loop_
_symmetry_equiv_pos_as_xyz
'x,y,z'
loop_
_atom_site_label
_atom_site_fract_x
_atom_site_fract_y
_atom_site_fract_z
Ba1 0.673 0.125 0.250
Ba2 0.875 0.923 0.750
Ba3 0.375 0.327 0.750
Ba4 0.077 0.625 0.250
Ti1 0.500 0.500 0.000
Ti2 0.250 0.750 0.500
Cu1 0.750 0.250 0.500
Cu2 0.000 0.000 0.000
```



(3)
Compound: MgCdSb2S
Source: the Alexandria database
Functional: PBE
Structure: optimized geometry

Properties
space-group type: No. 123
energy relative to the elements, uncorrected: 77 kJ/mol of formula units

CIF file:
```
data_MgCdSb2S
_chemical_formula_sum 'Mg1 Cd1 Sb2 S1'
_symmetry_space_group_name_H-M 'P 1'
_symmetry_Int_Tables_number 1
_cell_length_a 5.437
_cell_length_b 4.655
_cell_length_c 5.437
_cell_angle_alpha 90.00
_cell_angle_beta 90.00
_cell_angle_gamma 90.00
loop_
_symmetry_equiv_pos_as_xyz
'x,y,z'
loop_
_atom_site_label
_atom_site_fract_x
_atom_site_fract_y
_atom_site_fract_z
Sb1 0.500 0.000 0.000
Sb2 0.000 0.000 0.500
S1 0.000 0.000 0.000
Cd1 0.500 0.500 0.500
Mg1 0.000 0.500 0.000
```



(4)
Compound: CeYTm
Source: the Alexandria database
Functional: PBE
Structure: optimized geometry

Properties
space-group type: No. 14
raw total energy: -65.78 eV for the cell shown

CIF file:
```
data_CeYTm
_chemical_formula_sum 'Ce4 Y4 Tm4'
_symmetry_space_group_name_H-M 'P 1'
_symmetry_Int_Tables_number 1
_cell_length_a 6.587
_cell_length_b 10.233
_cell_length_c 6.546
_cell_angle_alpha 90.00
_cell_angle_beta 122.19
_cell_angle_gamma 90.00
loop_
_symmetry_equiv_pos_as_xyz
'x,y,z'
loop_
_atom_site_label
_atom_site_fract_x
_atom_site_fract_y
_atom_site_fract_z
Y1 0.070 0.545 0.775
Y2 0.430 0.045 0.225
Y3 0.570 0.955 0.775
Y4 0.930 0.455 0.225
Ce1 0.441 0.276 0.801
Ce2 0.059 0.776 0.199
Ce3 0.941 0.224 0.801
Ce4 0.559 0.724 0.199
Tm1 0.035 0.876 0.692
Tm2 0.535 0.624 0.692
Tm3 0.965 0.124 0.308
Tm4 0.465 0.376 0.308
```



| no. | D(E_F) (states/eV per atom) |
| --- | --- |
| 1 | 0.00 |
| 2 | 3.05 |
| 3 | 0.45 |
| 4 | 2.54 |